Material: U2GePt9
Method: DFT, PBE-GGA
State: optimized geometry

Calculated values
The calculation puts the total energy at -88.17 eV/f.u. The calculation puts the total moment at 0.31 μB per atom. The calculated formation energy comes out at -12.70 kcal/mol of atoms. The value obtained for the density of states at the Fermi level is 1.287 states/eV per atom. The volume is 207 Å³ per cell.

Geometry as CIF:
```
data_U2GePt9
_symmetry_space_group_name_H-M 'P 1'
_symmetry_Int_Tables_number 1
_cell_length_a 4.123
_cell_length_b 4.123
_cell_length_c 12.200
_cell_angle_alpha 90.00
_cell_angle_beta 90.00
_cell_angle_gamma 90.00
loop_
_symmetry_equiv_pos_as_xyz
'x,y,z'
loop_
_atom_site_label
_atom_site_fract_x
_atom_site_fract_y
_atom_site_fract_z
U1 0.000 0.000 0.327
U2 0.000 0.000 0.673
Ge1 0.000 0.000 0.000
Pt1 0.500 0.500 0.000
Pt2 0.500 0.500 0.328
Pt3 0.500 0.500 0.672
Pt4 0.500 0.000 0.160
Pt5 0.500 0.000 0.500
Pt6 0.500 0.000 0.840
Pt7 0.000 0.500 0.160
Pt8 0.000 0.500 0.500
Pt9 0.000 0.500 0.840
```